No. 1
First-principles (PBE-GGA) data for a relaxed Ce3Dy2In2 crystal, as listed in the Alexandria database.

Calculated values
E_form: -0.18 eV per atom

Cell lengths 10.796, 4.765, 7.723 Å; angles 90.00, 95.70, 90.00 degrees
Space group C2/m (No. 12)
Symmetry-distinct sites (fractional):
Ce1 0.000 0.000 0.000 [2 per cell]
Ce2 0.117 0.000 0.433 [4 per cell]
Dy1 0.218 0.500 0.151 [4 per cell]
In1 0.086 0.500 0.728 [4 per cell]


No. 2
First-principles (PBE-GGA) data for a relaxed SrLi4Be crystal, as listed in the Alexandria database.

Calculated values
E_form: 0.27 eV per atom

Cell lengths 7.973, 7.973, 7.973 Å; angles 90.00, 90.00, 90.00 degrees
Space group F-43m (No. 216)
Symmetry-distinct sites (fractional):
Sr1 0.000 0.000 0.000 [4 per cell]
Li1 0.121 0.121 0.379 [16 per cell]
Be1 0.250 0.250 0.750 [4 per cell]


No. 3
First-principles (PBE-GGA) data for a relaxed Ac4Ga2Fe crystal, as listed in the Alexandria database.

Calculated values
E_form: -0.08 eV per atom

Cell lengths 5.340, 5.340, 16.288 Å; angles 90.00, 90.00, 90.00 degrees
Space group I4/mmm (No. 139)
Symmetry-distinct sites (fractional):
Ac1 0.000 0.000 0.179 [4 per cell]
Ac2 0.000 0.500 0.000 [4 per cell]
Ga1 0.000 0.000 0.371 [4 per cell]
Fe1 0.000 0.000 0.000 [2 per cell]


No. 4
First-principles (PBE-GGA) data for a relaxed AcInN crystal, as listed in the Alexandria database.

Calculated values
energy relative to the elements, uncorrected: -541 meV per atom
ΔE to the lowest computed polymorph: 0 meV/atom

Cell lengths 4.349, 4.353, 9.161 Å; angles 89.51, 89.68, 89.99 degrees
Space group P-1 (No. 2)
Symmetry-distinct sites (fractional):
Ac1 0.249 0.248 0.127 [2 per cell]
In1 0.250 0.251 0.555 [2 per cell]
N1 0.250 0.750 0.000 [2 per cell]


No. 5
First-principles (PBE-GGA) data for a relaxed Cs2LiPa2S6 crystal, as listed in the Alexandria database.

Calculated values
energy relative to the elements, uncorrected: -1546 meV per atom

Cell lengths 6.964, 12.273, 8.475 Å; angles 90.00, 104.48, 90.00 degrees
Space group C2/m (No. 12)
Symmetry-distinct sites (fractional):
Cs1 0.000 0.158 0.000 [4 per cell]
Li1 0.000 0.000 0.500 [2 per cell]
Pa1 0.000 0.335 0.500 [4 per cell]
S1 0.208 0.500 0.672 [4 per cell]
S2 0.230 0.179 0.677 [8 per cell]


No. 6
First-principles (PBE-GGA) data for a relaxed BaAgO2 crystal, as listed in the Alexandria database.

Calculated values
energy relative to the elements, uncorrected: -1371 meV per atom

Cell lengths 3.923, 17.640, 4.394 Å; angles 90.00, 90.00, 90.00 degrees
Space group Cmcm (No. 63)
Symmetry-distinct sites (fractional):
Ba1 0.000 0.168 0.250 [4 per cell]
Ag1 0.000 0.436 0.250 [4 per cell]
O1 0.000 0.317 0.250 [4 per cell]
O2 0.000 0.442 0.750 [4 per cell]


No. 7
First-principles (PBE-GGA) data for a relaxed Sm6DyY2Ho3 crystal, as listed in the Alexandria database.

Calculated values
E_form: 0.01 eV per atom

Cell lengths 6.222, 10.773, 11.824 Å; angles 90.00, 100.06, 90.00 degrees
Space group C2/m (No. 12)
Symmetry-distinct sites (fractional):
Sm1 0.249 0.000 0.249 [4 per cell]
Sm2 0.250 0.166 0.751 [8 per cell]
Dy1 0.000 0.000 0.500 [2 per cell]
Y1 0.000 0.333 0.500 [4 per cell]
Ho1 0.000 0.167 0.000 [4 per cell]
Ho2 0.000 0.500 0.000 [2 per cell]


No. 8
First-principles (PBE-GGA) data for a relaxed TlCrFeCl6 crystal, as listed in the Alexandria database.

Calculated values
energy relative to the elements, uncorrected: -853 meV per atom

Cell lengths 6.100, 10.562, 7.277 Å; angles 90.00, 90.05, 90.00 degrees
Space group C2 (No. 5)
Symmetry-distinct sites (fractional):
Tl1 0.000 0.000 0.000 [2 per cell]
Cr1 0.000 0.667 0.500 [2 per cell]
Fe1 0.000 0.333 0.500 [2 per cell]
Cl1 0.134 0.496 0.680 [4 per cell]
Cl2 0.177 0.185 0.680 [4 per cell]
Cl3 0.190 0.819 0.680 [4 per cell]


No. 9
First-principles (PBE-GGA) data for a relaxed Ac3MgAg3 crystal, as listed in the Alexandria database.

Calculated values
E_form: -0.17 eV per atom
ΔE to the lowest computed polymorph: 67 meV/atom

Cell lengths 8.497, 11.955, 8.701 Å; angles 90.00, 99.10, 90.00 degrees
Space group C2/m (No. 12)
Symmetry-distinct sites (fractional):
Ac1 0.000 0.189 0.000 [4 per cell]
Ac2 0.000 0.244 0.500 [4 per cell]
Ac3 0.123 0.500 0.833 [4 per cell]
Mg1 0.231 0.500 0.470 [4 per cell]
Ag1 0.010 0.000 0.288 [4 per cell]
Ag2 0.220 0.361 0.215 [8 per cell]


No. 10
First-principles (PBE-GGA) data for a relaxed Bi2RhWC crystal, as listed in the Alexandria database.

Calculated values
E_form: 1.40 eV per atom

Cell lengths 5.498, 5.498, 3.711 Å; angles 90.00, 90.00, 90.00 degrees
Space group P4/mmm (No. 123)
Symmetry-distinct sites (fractional):
Bi1 0.000 0.500 0.000 [2 per cell]
Rh1 0.000 0.000 0.000 [1 per cell]
W1 0.500 0.500 0.500 [1 per cell]
C1 0.000 0.000 0.500 [1 per cell]


No. 11
First-principles (PBE-GGA) data for a relaxed K4PaSb3O12 crystal, as listed in the Alexandria database.

Calculated values
energy relative to the elements, uncorrected: -1929 meV per atom

Cell lengths 8.238, 8.238, 8.238 Å; angles 90.00, 90.00, 90.00 degrees
Space group Im-3m (No. 229)
Symmetry-distinct sites (fractional):
K1 0.250 0.250 0.250 [8 per cell]
Pa1 0.000 0.000 0.000 [2 per cell]
Sb1 0.000 0.000 0.500 [6 per cell]
O1 0.000 0.000 0.260 [12 per cell]
O2 0.000 0.250 0.500 [12 per cell]


No. 12
First-principles (PBE-GGA) data for a relaxed Na3MgZn crystal, as listed in the Alexandria database.

Calculated values
E_form: 0.47 eV per atom
ΔE to the lowest computed polymorph: 172 meV/atom

Cell lengths 5.997, 5.997, 5.997 Å; angles 90.00, 90.00, 90.00 degrees
Space group Pm-3m (No. 221)
Symmetry-distinct sites (fractional):
Na1 0.000 0.000 0.500 [3 per cell]
Mg1 0.000 0.000 0.000 [1 per cell]
Zn1 0.500 0.500 0.500 [1 per cell]


No. 13
First-principles (PBE-GGA) data for a relaxed MgMo2Au2 crystal, as listed in the Alexandria database.

Calculated values
E_form: 0.33 eV per atom
ΔE to the lowest computed polymorph: 184 meV/atom

Cell lengths 7.793, 7.793, 3.139 Å; angles 90.00, 90.00, 90.00 degrees
Space group P4/mbm (No. 127)
Symmetry-distinct sites (fractional):
Mg1 0.000 0.000 0.000 [2 per cell]
Mo1 0.103 0.397 0.500 [4 per cell]
Au1 0.190 0.690 0.000 [4 per cell]


No. 14
First-principles (PBE-GGA) data for a relaxed KHgOs2 crystal, as listed in the Alexandria database.

Calculated values
E_form: 1.43 eV per atom

Cell lengths 5.720, 10.351, 2.602 Å; angles 90.00, 90.00, 90.00 degrees
Space group Cmmm (No. 65)
Symmetry-distinct sites (fractional):
K1 0.000 0.000 0.000 [2 per cell]
Hg1 0.000 0.500 0.000 [2 per cell]
Os1 0.250 0.250 0.500 [4 per cell]


No. 15
First-principles (PBE-GGA) data for a relaxed Hf6HAu crystal, as listed in the Alexandria database.

Calculated values
energy: -8.4153 eV/atom

Cell lengths 5.411, 5.418, 5.422 Å; angles 99.94, 100.15, 99.89 degrees
Space group P-1 (No. 2)
Symmetry-distinct sites (fractional):
Hf1 0.068 0.277 0.136 [2 per cell]
Hf2 0.223 0.863 0.433 [2 per cell]
Hf3 0.363 0.431 0.723 [2 per cell]
H1 0.000 0.500 0.500 [1 per cell]
Au1 0.500 0.000 0.000 [1 per cell]


No. 16
First-principles (PBE-GGA) data for a relaxed Sr8CuIr2 crystal, as listed in the Alexandria database.

Calculated values
E_form: 0.09 eV per atom

Cell lengths 6.276, 9.464, 9.468 Å; angles 60.03, 90.00, 90.00 degrees
Space group P-1 (No. 2)
Symmetry-distinct sites (fractional):
Sr1 0.246 0.333 0.333 [2 per cell]
Sr2 0.252 0.326 0.838 [2 per cell]
Sr3 0.252 0.836 0.326 [2 per cell]
Sr4 0.252 0.838 0.836 [2 per cell]
Cu1 0.500 0.000 0.000 [1 per cell]
Ir1 0.258 0.667 0.667 [2 per cell]


No. 17
First-principles (PBE-GGA) data for a relaxed TiAlV2 crystal, as listed in the Alexandria database.

Calculated values
E_form: -0.06 eV per atom

Cell lengths 3.187, 3.187, 5.831 Å; angles 90.00, 90.00, 90.00 degrees
Space group P4/mmm (No. 123)
Symmetry-distinct sites (fractional):
Ti1 0.000 0.000 0.000 [1 per cell]
Al1 0.000 0.000 0.500 [1 per cell]
V1 0.500 0.500 0.240 [2 per cell]


No. 18
First-principles (PBE-GGA) data for a relaxed Ti4Pt2Rh3 crystal, as listed in the Alexandria database.

Calculated values
E_form: -0.78 eV per atom

Cell lengths 8.448, 4.045, 8.236 Å; angles 90.00, 101.85, 90.00 degrees
Space group C2/m (No. 12)
Symmetry-distinct sites (fractional):
Ti1 0.028 0.000 0.345 [4 per cell]
Ti2 0.156 0.500 0.881 [4 per cell]
Pt1 0.173 0.500 0.212 [4 per cell]
Rh1 0.000 0.000 0.000 [2 per cell]
Rh2 0.160 0.500 0.574 [4 per cell]


No. 19
First-principles (PBE-GGA) data for a relaxed Pm6PrSm8 crystal, as listed in the Alexandria database.

Calculated values
E_form: 0.15 eV per atom

Cell lengths 9.8372, 9.8372, 18.4294 Å; angles 90.00, 90.00, 120.00 degrees
Space group R-3 (No. 148, hexagonal axes)
Symmetry-distinct sites (fractional):
Pm1 0.0290 0.7924 0.4090 [18 per cell]
Pr1 0.0000 0.0000 0.0000 [3 per cell]
Sm1 0.0000 0.0000 0.2390 [6 per cell]
Sm2 0.0454 0.7707 0.9028 [18 per cell]


No. 20
First-principles (PBE-GGA) data for a relaxed KB3Ir3 crystal, as listed in the Alexandria database.

Calculated values
E_form: 0.05 eV per atom

Cell lengths 5.9275, 5.9275, 23.8579 Å; angles 90.00, 90.00, 120.00 degrees
Space group R-3 (No. 148, hexagonal axes)
Symmetry-distinct sites (fractional):
K1 0.0000 0.0000 0.1636 [6 per cell]
B1 0.0128 0.7406 0.7228 [18 per cell]
Ir1 0.0168 0.6299 0.2929 [18 per cell]


No. 21
First-principles (PBE-GGA) data for a relaxed AcPmDyHg crystal, as listed in the Alexandria database.

Calculated values
E_form: 0.03 eV per atom

Cell lengths 7.949, 7.949, 7.949 Å; angles 90.00, 90.00, 90.00 degrees
Space group F-43m (No. 216)
Symmetry-distinct sites (fractional):
Ac1 0.000 0.000 0.000 [4 per cell]
Pm1 0.250 0.250 0.750 [4 per cell]
Dy1 0.250 0.250 0.250 [4 per cell]
Hg1 0.000 0.000 0.500 [4 per cell]


No. 22
First-principles (PBE-GGA) data for a relaxed BaOs3Pd crystal, as listed in the Alexandria database.

Calculated values
E_form: 2.05 eV per atom
ΔE to the lowest computed polymorph: 0 meV/atom

Cell lengths 4.928, 4.928, 4.928 Å; angles 90.00, 90.00, 90.00 degrees
Space group Pm-3m (No. 221)
Symmetry-distinct sites (fractional):
Ba1 0.000 0.000 0.000 [1 per cell]
Os1 0.000 0.500 0.500 [3 per cell]
Pd1 0.500 0.500 0.500 [1 per cell]


No. 23
First-principles (PBE-GGA) data for a relaxed Tb3SmTm7 crystal, as listed in the Alexandria database.

Calculated values
E_form: 0.19 eV per atom
ΔE to the lowest computed polymorph: 35 meV/atom

Cell lengths 6.9779, 6.9779, 8.5436 Å; angles 90.00, 90.00, 120.00 degrees
Space group P3m1 (No. 156)
Symmetry-distinct sites (fractional):
Tb1 0.1670 0.3341 0.0000 [3 per cell]
Sm1 0.0000 0.0000 0.3371 [1 per cell]
Tm1 0.0021 0.5010 0.3381 [3 per cell]
Tm2 0.3318 0.1659 0.6657 [3 per cell]
Tm3 0.3333 0.6667 0.6651 [1 per cell]


No. 24
First-principles (PBE-GGA) data for a relaxed Nd2SiPb crystal, as listed in the Alexandria database.

Calculated values
energy relative to the elements, uncorrected: -494 meV per atom
ΔE to the lowest computed polymorph: 0 meV/atom

Cell lengths 3.470, 3.470, 8.915 Å; angles 90.00, 90.00, 90.00 degrees
Space group P4/mmm (No. 123)
Symmetry-distinct sites (fractional):
Nd1 0.000 0.000 0.218 [2 per cell]
Si1 0.500 0.500 0.000 [1 per cell]
Pb1 0.500 0.500 0.500 [1 per cell]